[1]
! PBE InNi3Sb5, optimized geometry; values from VASP
&SYSTEM
  ibrav = 0, nat = 9, ntyp = 3
/
ATOMIC_SPECIES
In 114.82 In.upf
Ni 58.69 Ni.upf
Sb 121.76 Sb.upf
CELL_PARAMETERS angstrom
5.3386 0.0000 0.0000
-2.6693 4.6233 0.0000
0.0000 0.0000 8.0660
ATOMIC_POSITIONS crystal
In 0.0000 0.0000 0.0000
Ni 0.0000 0.5000 0.5000
Ni 0.5000 0.0000 0.5000
Ni 0.5000 0.5000 0.5000
Sb 0.0000 0.0000 0.5000
Sb 0.3333 0.6667 0.2298
Sb 0.3333 0.6667 0.7702
Sb 0.6667 0.3333 0.2298
Sb 0.6667 0.3333 0.7702
! - E (eV/atom) = -4.532
! - SG = P6/mmm


[2]
! PBE SmAgGeS3, optimized geometry; values from VASP
&SYSTEM
  ibrav = 0, nat = 12, ntyp = 4
/
ATOMIC_SPECIES
Sm 150.36 Sm.upf
Ag 107.87 Ag.upf
Ge 72.64 Ge.upf
S 32.06 S.upf
CELL_PARAMETERS angstrom
1.9580 -6.3157 0.0000
1.9580 6.3157 0.0000
0.0000 0.0000 10.6805
ATOMIC_POSITIONS crystal
Sm 0.0000 0.0000 0.0000
Sm 0.0000 0.0000 0.5000
Ag 0.4760 0.5240 0.7500
Ag 0.5240 0.4760 0.2500
Ge 0.2391 0.7609 0.2500
Ge 0.7609 0.2391 0.7500
S 0.1084 0.8916 0.7500
S 0.3528 0.6472 0.5692
S 0.3528 0.6472 0.9308
S 0.6472 0.3528 0.0692
S 0.6472 0.3528 0.4308
S 0.8916 0.1084 0.2500
! - E (eV/atom) = -4.881
! - SG = Cmcm


[3]
! PBE LiNbZnO4, optimized geometry; values from VASP
&SYSTEM
  ibrav = 0, nat = 28, ntyp = 4
/
ATOMIC_SPECIES
Li 6.94 Li.upf
Nb 92.91 Nb.upf
Zn 65.41 Zn.upf
O 16.00 O.upf
CELL_PARAMETERS angstrom
6.0878 0.0000 0.0000
0.0000 6.0878 0.0000
0.0000 0.0000 8.3810
ATOMIC_POSITIONS crystal
Li 0.0000 0.2180 0.0000
Li 0.0000 0.7820 0.5000
Li 0.2180 0.0000 0.7500
Li 0.7820 0.0000 0.2500
Nb 0.2106 0.5000 0.7500
Nb 0.5000 0.2106 0.0000
Nb 0.5000 0.7894 0.5000
Nb 0.7894 0.5000 0.2500
Zn 0.2595 0.2595 0.3750
Zn 0.2595 0.7405 0.1250
Zn 0.7405 0.2595 0.6250
Zn 0.7405 0.7405 0.8750
O 0.0135 0.2599 0.7492
O 0.0135 0.7401 0.7508
O 0.2599 0.0135 0.0008
O 0.2599 0.9865 0.4992
O 0.2635 0.4798 0.9861
O 0.2635 0.5202 0.5139
O 0.4798 0.2635 0.7639
O 0.4798 0.7365 0.7361
O 0.5202 0.2635 0.2361
O 0.5202 0.7365 0.2639
O 0.7365 0.4798 0.0139
O 0.7365 0.5202 0.4861
O 0.7401 0.0135 0.9992
O 0.7401 0.9865 0.5008
O 0.9865 0.2599 0.2508
O 0.9865 0.7401 0.2492
! - E (eV/atom) = -6.902
! - SG = P4_122


[4]
! PBE Dy2Y2CI3Br2, optimized geometry; values from VASP
&SYSTEM
  ibrav = 0, nat = 10, ntyp = 5
/
ATOMIC_SPECIES
Dy 162.50 Dy.upf
Y 88.91 Y.upf
C 12.01 C.upf
I 126.90 I.upf
Br 79.90 Br.upf
CELL_PARAMETERS angstrom
9.2776 -1.9662 0.0000
9.2776 1.9662 0.0000
-1.8730 0.0000 8.3478
ATOMIC_POSITIONS crystal
Dy 0.1318 0.1318 0.0606
Dy 0.8682 0.8682 0.9394
Y 0.4995 0.4995 0.1905
Y 0.5005 0.5005 0.8095
C 0.0000 0.0000 0.0000
I 0.0000 0.0000 0.5000
I 0.3316 0.3316 0.6622
I 0.6684 0.6684 0.3378
Br 0.3359 0.3359 0.1622
Br 0.6641 0.6641 0.8378
! - E above lowest polymorph (meV/atom) = 9
! - SG = C2/m


[5]
! PBE Tb3Zn2Si4Au2, optimized geometry; values from VASP
&SYSTEM
  ibrav = 0, nat = 11, ntyp = 4
/
ATOMIC_SPECIES
Tb 158.93 Tb.upf
Zn 65.41 Zn.upf
Si 28.09 Si.upf
Au 196.97 Au.upf
CELL_PARAMETERS angstrom
-2.0220 2.1020 12.5215
2.0220 -2.1020 12.5215
2.0220 2.1020 -12.5215
ATOMIC_POSITIONS crystal
Tb 0.0000 0.0000 0.0000
Tb 0.3537 0.8537 0.5000
Tb 0.6463 0.1463 0.5000
Zn 0.2510 0.2510 0.0000
Zn 0.7490 0.7490 0.0000
Si 0.1916 0.6916 0.5000
Si 0.4533 0.4533 0.0000
Si 0.5467 0.5467 0.0000
Si 0.8084 0.3084 0.5000
Au 0.0951 0.5951 0.5000
Au 0.9049 0.4049 0.5000
! - E above lowest polymorph (meV/atom) = 0
! - SG = Immm


[6]
! PBE Nb2AlCo2Sb, optimized geometry; values from VASP
&SYSTEM
  ibrav = 0, nat = 12, ntyp = 4
/
ATOMIC_SPECIES
Nb 92.91 Nb.upf
Al 26.98 Al.upf
Co 58.93 Co.upf
Sb 121.76 Sb.upf
CELL_PARAMETERS angstrom
-2.9294 2.9294 5.8564
2.9294 -2.9294 5.8564
2.9294 2.9294 -5.8564
ATOMIC_POSITIONS crystal
Nb 0.2437 0.2437 0.0000
Nb 0.5063 0.0063 0.5000
Nb 0.7563 0.7563 0.0000
Nb 0.9937 0.4937 0.5000
Al 0.0000 0.0000 0.0000
Al 0.7500 0.2500 0.5000
Co 0.1205 0.6250 0.9955
Co 0.3750 0.3705 0.4955
Co 0.6295 0.1250 0.0045
Co 0.8750 0.8795 0.5045
Sb 0.2500 0.7500 0.5000
Sb 0.5000 0.5000 0.0000
! - E (eV/atom) = -7.443
! - SG = I-42d


[7]
! PBE Pm2SiAs, optimized geometry; values from VASP
&SYSTEM
  ibrav = 0, nat = 4, ntyp = 3
/
ATOMIC_SPECIES
Pm 145.00 Pm.upf
Si 28.09 Si.upf
As 74.92 As.upf
CELL_PARAMETERS angstrom
4.2322 0.0000 0.0000
0.0000 4.2322 0.0000
0.0000 0.0000 5.9719
ATOMIC_POSITIONS crystal
Pm 0.0000 0.0000 0.0000
Pm 0.5000 0.5000 0.5000
Si 0.0000 0.0000 0.5000
As 0.5000 0.5000 0.0000
! - E (eV/atom) = -5.872
! - SG = P4/mmm


[8]
! PBE MgCoHgAs, optimized geometry; values from VASP
&SYSTEM
  ibrav = 0, nat = 4, ntyp = 4
/
ATOMIC_SPECIES
Mg 24.30 Mg.upf
Co 58.93 Co.upf
Hg 200.59 Hg.upf
As 74.92 As.upf
CELL_PARAMETERS angstrom
0.0000 3.2571 3.2571
3.2571 0.0000 3.2571
3.2571 3.2571 0.0000
ATOMIC_POSITIONS crystal
Mg 0.0000 0.0000 0.0000
Co 0.5000 0.5000 0.5000
Hg 0.2500 0.2500 0.2500
As 0.7500 0.7500 0.7500
! - E above lowest polymorph (meV/atom) = 0
! - SG = F-43m


[9]
! PBE Lu4NiAuN2, optimized geometry; values from VASP
&SYSTEM
  ibrav = 0, nat = 8, ntyp = 4
/
ATOMIC_SPECIES
Lu 174.97 Lu.upf
Ni 58.69 Ni.upf
Au 196.97 Au.upf
N 14.01 N.upf
CELL_PARAMETERS angstrom
3.3886 0.0000 0.0000
-1.6943 2.9346 0.0000
0.0000 0.0000 13.8265
ATOMIC_POSITIONS crystal
Lu 0.0000 0.0000 0.1394
Lu 0.0000 0.0000 0.8606
Lu 0.3333 0.6667 0.3355
Lu 0.3333 0.6667 0.6645
Ni 0.3333 0.6667 0.0000
Au 0.0000 0.0000 0.5000
N 0.6667 0.3333 0.2426
N 0.6667 0.3333 0.7574
! - E (eV/atom) = -6.494
! - SG = P-6m2


[10]
! PBE TbEr3Pb2C2, optimized geometry; values from VASP
&SYSTEM
  ibrav = 0, nat = 8, ntyp = 4
/
ATOMIC_SPECIES
Tb 158.93 Tb.upf
Er 167.26 Er.upf
Pb 207.20 Pb.upf
C 12.01 C.upf
CELL_PARAMETERS angstrom
3.6118 0.0000 0.0000
-1.8059 3.1280 0.0000
0.0000 0.0000 16.0166
ATOMIC_POSITIONS crystal
Tb 0.0000 0.0000 0.0000
Er 0.0000 0.0000 0.3355
Er 0.3333 0.6667 0.4994
Er 0.3333 0.6667 0.8345
Pb 0.0000 0.0000 0.6668
Pb 0.3333 0.6667 0.1692
C 0.6667 0.3333 0.4175
C 0.6667 0.3333 0.9155
! - E (eV/atom) = -6.033
! - SG = P3m1


[11]
! PBE Zr2Cu2Pb, optimized geometry; values from VASP
&SYSTEM
  ibrav = 0, nat = 10, ntyp = 3
/
ATOMIC_SPECIES
Zr 91.22 Zr.upf
Cu 63.55 Cu.upf
Pb 207.20 Pb.upf
CELL_PARAMETERS angstrom
6.8988 0.0000 0.0000
0.0000 6.8988 0.0000
0.0000 0.0000 3.9549
ATOMIC_POSITIONS crystal
Zr 0.1651 0.3349 0.0000
Zr 0.3349 0.8349 0.0000
Zr 0.6651 0.1651 0.0000
Zr 0.8349 0.6651 0.0000
Cu 0.1235 0.6235 0.5000
Cu 0.3765 0.1235 0.5000
Cu 0.6235 0.8765 0.5000
Cu 0.8765 0.3765 0.5000
Pb 0.0000 0.0000 0.5000
Pb 0.5000 0.5000 0.5000
! - E (eV/atom) = -5.811
! - SG = P4/mbm


[12]
! PBE LaGdIn4Pt2, optimized geometry; values from VASP
&SYSTEM
  ibrav = 0, nat = 8, ntyp = 4
/
ATOMIC_SPECIES
La 138.91 La.upf
Gd 157.25 Gd.upf
In 114.82 In.upf
Pt 195.08 Pt.upf
CELL_PARAMETERS angstrom
7.7718 0.0000 0.0000
0.0000 2.2555 5.2752
0.0000 -2.2555 5.2752
ATOMIC_POSITIONS crystal
La 0.0000 0.0000 0.0000
Gd 0.5000 0.8516 0.8516
In 0.2038 0.2886 0.2886
In 0.3042 0.5653 0.5653
In 0.6958 0.5653 0.5653
In 0.7962 0.2886 0.2886
Pt 0.0000 0.7128 0.7128
Pt 0.5000 0.1403 0.1403
! - E (eV/atom) = -4.831
! - SG = Amm2


[13]
! PBE Y4Ta2Sn3N3, optimized geometry; values from VASP
&SYSTEM
  ibrav = 0, nat = 24, ntyp = 4
/
ATOMIC_SPECIES
Y 88.91 Y.upf
Ta 180.95 Ta.upf
Sn 118.71 Sn.upf
N 14.01 N.upf
CELL_PARAMETERS angstrom
5.1260 -2.9754 0.0000
5.1260 2.9754 0.0000
-3.4725 0.0000 14.6082
ATOMIC_POSITIONS crystal
Y 0.0378 0.1920 0.0912
Y 0.1283 0.3026 0.4087
Y 0.1920 0.0378 0.5912
Y 0.3026 0.1283 0.9087
Y 0.6974 0.8717 0.0913
Y 0.8081 0.9622 0.4088
Y 0.8717 0.6974 0.5913
Y 0.9622 0.8081 0.9088
Ta 0.3510 0.5253 0.0754
Ta 0.4747 0.6490 0.4246
Ta 0.5253 0.3510 0.5754
Ta 0.6490 0.4747 0.9246
Sn 0.1241 0.8759 0.2500
Sn 0.2897 0.4159 0.7525
Sn 0.4159 0.2897 0.2525
Sn 0.5841 0.7103 0.7475
Sn 0.7103 0.5841 0.2475
Sn 0.8759 0.1241 0.7500
N 0.0000 0.5000 0.0000
N 0.1922 0.6546 0.5000
N 0.3454 0.8078 0.0000
N 0.5000 0.0000 0.5000
N 0.6546 0.1922 0.0000
N 0.8078 0.3454 0.5000
! - E (eV/atom) = -8.147
! - SG = C2/c


[14]
! PBE Zr5Pb4, optimized geometry; values from VASP
&SYSTEM
  ibrav = 0, nat = 18, ntyp = 2
/
ATOMIC_SPECIES
Zr 91.22 Zr.upf
Pb 207.20 Pb.upf
CELL_PARAMETERS angstrom
8.9800 0.0000 0.0000
-4.4900 7.7769 0.0000
0.0000 0.0000 6.0820
ATOMIC_POSITIONS crystal
Zr 0.0000 0.2830 0.2500
Zr 0.0000 0.7170 0.7500
Zr 0.2830 0.0000 0.2500
Zr 0.2830 0.2830 0.7500
Zr 0.3333 0.6667 0.0000
Zr 0.3333 0.6667 0.5000
Zr 0.6667 0.3333 0.0000
Zr 0.6667 0.3333 0.5000
Zr 0.7170 0.0000 0.7500
Zr 0.7170 0.7170 0.2500
Pb 0.0000 0.0000 0.0000
Pb 0.0000 0.0000 0.5000
Pb 0.0000 0.3842 0.7500
Pb 0.0000 0.6158 0.2500
Pb 0.3842 0.0000 0.7500
Pb 0.3842 0.3842 0.2500
Pb 0.6158 0.0000 0.2500
Pb 0.6158 0.6158 0.7500
! - E (eV/atom) = -6.659
! - SG = P6_3/mcm


[15]
! PBE Pr2H6C14SN2O12, optimized geometry; values from VASP
&SYSTEM
  ibrav = 0, nat = 74, ntyp = 6
/
ATOMIC_SPECIES
Pr 140.91 Pr.upf
H 1.01 H.upf
C 12.01 C.upf
S 32.06 S.upf
N 14.01 N.upf
O 16.00 O.upf
CELL_PARAMETERS angstrom
5.2607 -4.2496 0.0000
5.2607 4.2496 0.0000
-0.4320 0.0000 18.2682
ATOMIC_POSITIONS crystal
Pr 0.1037 0.2991 0.2919
Pr 0.2991 0.1037 0.7919
Pr 0.7009 0.8963 0.2081
Pr 0.8963 0.7009 0.7081
H 0.0774 0.3459 0.4804
H 0.1753 0.8171 0.9669
H 0.1829 0.8247 0.5331
H 0.2208 0.6550 0.0927
H 0.3450 0.7792 0.4073
H 0.3459 0.0774 0.9804
H 0.6541 0.9226 0.0196
H 0.6550 0.2208 0.5927
H 0.7792 0.3450 0.9073
H 0.8171 0.1753 0.4669
H 0.8247 0.1829 0.0331
H 0.9226 0.6541 0.5196
C 0.1925 0.6203 0.8367
C 0.2123 0.6539 0.9737
C 0.2307 0.5307 0.9111
C 0.2379 0.5650 0.0422
C 0.2423 0.3052 0.4798
C 0.2456 0.3274 0.6162
C 0.2894 0.3544 0.0451
C 0.3052 0.2423 0.9798
C 0.3274 0.2456 0.1162
C 0.3461 0.7877 0.5263
C 0.3544 0.2894 0.5451
C 0.3797 0.8075 0.6633
C 0.4350 0.7621 0.4578
C 0.4693 0.7693 0.5889
C 0.5307 0.2307 0.4111
C 0.5650 0.2379 0.5422
C 0.6203 0.1925 0.3367
C 0.6456 0.7106 0.4549
C 0.6539 0.2123 0.4737
C 0.6726 0.7544 0.8838
C 0.6948 0.7577 0.0202
C 0.7106 0.6456 0.9549
C 0.7544 0.6726 0.3838
C 0.7577 0.6948 0.5202
C 0.7621 0.4350 0.9578
C 0.7693 0.4693 0.0889
C 0.7877 0.3461 0.0263
C 0.8075 0.3797 0.1633
S 0.2369 0.7631 0.2500
S 0.7631 0.2369 0.7500
N 0.2728 0.3270 0.9141
N 0.3270 0.2728 0.4141
N 0.6730 0.7272 0.5859
N 0.7272 0.6730 0.0859
O 0.0558 0.7820 0.2016
O 0.0894 0.4692 0.6173
O 0.1544 0.8112 0.8305
O 0.1883 0.4989 0.7827
O 0.1888 0.8456 0.6695
O 0.2148 0.3181 0.1686
O 0.2180 0.9442 0.2984
O 0.2590 0.5865 0.2981
O 0.3181 0.2148 0.6686
O 0.4135 0.7410 0.2019
O 0.4692 0.0894 0.1173
O 0.4989 0.1883 0.2827
O 0.5011 0.8117 0.7173
O 0.5308 0.9106 0.8827
O 0.5865 0.2590 0.7981
O 0.6819 0.7852 0.3314
O 0.7410 0.4135 0.7019
O 0.7820 0.0558 0.7016
O 0.7852 0.6819 0.8314
O 0.8112 0.1544 0.3305
O 0.8117 0.5011 0.2173
O 0.8456 0.1888 0.1695
O 0.9106 0.5308 0.3827
O 0.9442 0.2180 0.7984
! - E (eV/atom) = -7.404
! - SG = C2/c


[16]
! PBE Tb2In8Pt, optimized geometry; values from VASP
&SYSTEM
  ibrav = 0, nat = 11, ntyp = 3
/
ATOMIC_SPECIES
Tb 158.93 Tb.upf
In 114.82 In.upf
Pt 195.08 Pt.upf
CELL_PARAMETERS angstrom
4.6943 0.0000 0.0000
0.0000 4.6943 0.0000
0.0000 0.0000 12.1115
ATOMIC_POSITIONS crystal
Tb 0.0000 0.0000 0.1894
Tb 0.0000 0.0000 0.8106
In 0.0000 0.5000 0.0000
In 0.0000 0.5000 0.3735
In 0.0000 0.5000 0.6265
In 0.5000 0.0000 0.0000
In 0.5000 0.0000 0.3735
In 0.5000 0.0000 0.6265
In 0.5000 0.5000 0.1909
In 0.5000 0.5000 0.8091
Pt 0.0000 0.0000 0.5000
! - E (eV/atom) = -3.816
! - SG = P4/mmm


[17]
! PBE PrNdI2BrN, optimized geometry; values from VASP
&SYSTEM
  ibrav = 0, nat = 12, ntyp = 5
/
ATOMIC_SPECIES
Pr 140.91 Pr.upf
Nd 144.24 Nd.upf
I 126.90 I.upf
Br 79.90 Br.upf
N 14.01 N.upf
CELL_PARAMETERS angstrom
9.6789 -2.0561 0.0000
9.6789 2.0561 0.0000
-7.0572 0.0000 9.9943
ATOMIC_POSITIONS crystal
Pr 0.0746 0.0746 0.4597
Pr 0.9254 0.9254 0.5403
Nd 0.3633 0.3633 0.2137
Nd 0.6367 0.6367 0.7863
I 0.2710 0.2710 0.3681
I 0.4630 0.4630 0.7712
I 0.5370 0.5370 0.2288
I 0.7290 0.7290 0.6319
Br 0.1719 0.1719 0.0049
Br 0.8281 0.8281 0.9951
N 0.0744 0.0744 0.6539
N 0.9256 0.9256 0.3461
! - E above lowest polymorph (meV/atom) = 24
! - SG = C2/m


[18]
! PBE CoTcHgAs, optimized geometry; values from VASP
&SYSTEM
  ibrav = 0, nat = 4, ntyp = 4
/
ATOMIC_SPECIES
Co 58.93 Co.upf
Tc 98.00 Tc.upf
Hg 200.59 Hg.upf
As 74.92 As.upf
CELL_PARAMETERS angstrom
0.0000 3.2217 3.2217
3.2217 0.0000 3.2217
3.2217 3.2217 0.0000
ATOMIC_POSITIONS crystal
Co 0.0000 0.0000 0.0000
Tc 0.2500 0.2500 0.2500
Hg 0.5000 0.5000 0.5000
As 0.7500 0.7500 0.7500
! - E above lowest polymorph (meV/atom) = 296
! - SG = F-43m